1.
# PBE PtAu6, optimized geometry
# Excess energy over the best structure of this formula in the dataset   53 meV per atom
# Fermi-level density of states   2.024 states/eV per cell
# ΔE_f   0.5 eV per formula unit
data_PtAu6
_symmetry_space_group_name_H-M 'P 4/m m m'
_symmetry_Int_Tables_number 123
_symmetry_space_group_name_Hall '-P 4 2'
_cell_length_a 4.045
_cell_length_b 4.045
_cell_length_c 8.170
_cell_angle_alpha 90.00
_cell_angle_beta 90.00
_cell_angle_gamma 90.00
loop_
_atom_site_label
_atom_site_type_symbol
_atom_site_fract_x
_atom_site_fract_y
_atom_site_fract_z
_atom_site_occupancy
Pt1 Pt 0.000 0.000 0.000 1
Au1 Au 0.000 0.000 0.500 1
Au2 Au 0.000 0.500 0.258 1
Au3 Au 0.500 0.500 0.000 1

2.
# PBE ZrCdNiRu, optimized geometry
# Fermi-level density of states   3.452 states/eV per cell
# ΔE_f   -0.8 eV per formula unit
data_ZrCdNiRu
_symmetry_space_group_name_H-M 'F -4 3 m'
_symmetry_Int_Tables_number 216
_symmetry_space_group_name_Hall 'F -4 2 3'
_cell_length_a 6.422
_cell_length_b 6.422
_cell_length_c 6.422
_cell_angle_alpha 90.00
_cell_angle_beta 90.00
_cell_angle_gamma 90.00
loop_
_atom_site_label
_atom_site_type_symbol
_atom_site_fract_x
_atom_site_fract_y
_atom_site_fract_z
_atom_site_occupancy
Zr1 Zr 0.000 0.000 0.000 1
Cd1 Cd 0.000 0.000 0.500 1
Ni1 Ni 0.250 0.250 0.250 1
Ru1 Ru 0.250 0.250 0.750 1